No. 1
# Dy2Ho2Tm2In, relaxed, DFT PBE-GGA
data_Dy2Ho2Tm2In
_cell_length_a 6.295
_cell_length_b 6.295
_cell_length_c 11.217
_cell_angle_alpha 115.77
_cell_angle_beta 115.77
_cell_angle_gamma 33.31
_space_group_name_H-M_alt 'P 1'
_space_group_IT_number 1
_space_group_name_Hall 'P 1'
loop_
_atom_site_label
_atom_site_fract_x
_atom_site_fract_y
_atom_site_fract_z
Dy1 0.021 0.021 0.243
Dy2 0.979 0.979 0.757
Ho1 0.187 0.187 0.592
Ho2 0.813 0.813 0.408
Tm1 0.242 0.242 0.123
Tm2 0.758 0.758 0.877
In1 0.500 0.500 0.000
# final energy: -4.315 eV per atom
# DFT formation energy: -0.0236 eV per atom

No. 2
# Dy2HoTmIn4, relaxed, DFT PBE-GGA
data_Dy2HoTmIn4
_cell_length_a 9.186
_cell_length_b 9.186
_cell_length_c 9.186
_cell_angle_alpha 33.49
_cell_angle_beta 33.49
_cell_angle_gamma 33.49
_space_group_name_H-M_alt 'P 1'
_space_group_IT_number 1
_space_group_name_Hall 'P 1'
loop_
_atom_site_label
_atom_site_fract_x
_atom_site_fract_y
_atom_site_fract_z
Dy1 0.250 0.250 0.250
Dy2 0.750 0.750 0.750
Ho1 0.500 0.500 0.500
Tm1 0.000 0.000 0.000
In1 0.125 0.125 0.125
In2 0.375 0.375 0.375
In3 0.625 0.625 0.625
In4 0.875 0.875 0.875
# final energy: -4.102 eV per atom
# DFT formation energy: -0.4510 eV per atom

No. 3
# Dy2HoTm5In, relaxed, DFT PBE-GGA
data_Dy2HoTm5In
_cell_length_a 10.416
_cell_length_b 10.416
_cell_length_c 10.294
_cell_angle_alpha 90.00
_cell_angle_beta 90.00
_cell_angle_gamma 150.76
_space_group_name_H-M_alt 'P 1'
_space_group_IT_number 1
_space_group_name_Hall 'P 1'
loop_
_atom_site_label
_atom_site_fract_x
_atom_site_fract_y
_atom_site_fract_z
Dy1 0.116 0.884 0.537
Dy2 0.116 0.884 0.963
Dy3 0.884 0.116 0.037
Dy4 0.884 0.116 0.463
Ho1 0.209 0.791 0.250
Ho2 0.791 0.209 0.750
Tm1 0.009 0.991 0.250
Tm2 0.288 0.712 0.552
Tm3 0.288 0.712 0.948
Tm4 0.382 0.618 0.250
Tm5 0.500 0.500 0.000
Tm6 0.500 0.500 0.500
Tm7 0.618 0.382 0.750
Tm8 0.712 0.288 0.052
Tm9 0.712 0.288 0.448
Tm10 0.991 0.009 0.750
In1 0.404 0.596 0.750
In2 0.596 0.404 0.250
# final energy: -4.320 eV per atom
# DFT formation energy: -0.0005 eV per atom

No. 4
# DyHo2Tm5In, relaxed, DFT PBE-GGA
data_DyHo2Tm5In
_cell_length_a 10.366
_cell_length_b 10.366
_cell_length_c 10.316
_cell_angle_alpha 90.00
_cell_angle_beta 90.00
_cell_angle_gamma 150.55
_space_group_name_H-M_alt 'P 1'
_space_group_IT_number 1
_space_group_name_Hall 'P 1'
loop_
_atom_site_label
_atom_site_fract_x
_atom_site_fract_y
_atom_site_fract_z
Dy1 0.208 0.792 0.750
Dy2 0.792 0.208 0.250
Ho1 0.116 0.884 0.038
Ho2 0.116 0.884 0.462
Ho3 0.884 0.116 0.538
Ho4 0.884 0.116 0.962
Tm1 0.010 0.990 0.750
Tm2 0.288 0.712 0.051
Tm3 0.288 0.712 0.449
Tm4 0.383 0.617 0.750
Tm5 0.500 0.500 0.000
Tm6 0.500 0.500 0.500
Tm7 0.617 0.383 0.250
Tm8 0.712 0.288 0.551
Tm9 0.712 0.288 0.949
Tm10 0.990 0.010 0.250
In1 0.404 0.596 0.250
In2 0.596 0.404 0.750
# final energy: -4.316 eV per atom
# DFT formation energy: 0.0009 eV per atom

No. 5
# Dy2YHo5In, relaxed, DFT PBE-GGA
data_Dy2YHo5In
_cell_length_a 10.306
_cell_length_b 10.306
_cell_length_c 10.518
_cell_angle_alpha 90.00
_cell_angle_beta 90.00
_cell_angle_gamma 149.98
_space_group_name_H-M_alt 'P 1'
_space_group_IT_number 1
_space_group_name_Hall 'P 1'
loop_
_atom_site_label
_atom_site_fract_x
_atom_site_fract_y
_atom_site_fract_z
Dy1 0.116 0.884 0.543
Dy2 0.116 0.884 0.957
Dy3 0.884 0.116 0.043
Dy4 0.884 0.116 0.457
Y1 0.207 0.793 0.250
Y2 0.793 0.207 0.750
Ho1 0.013 0.987 0.250
Ho2 0.290 0.710 0.549
Ho3 0.290 0.710 0.951
Ho4 0.384 0.616 0.250
Ho5 0.500 0.500 0.000
Ho6 0.500 0.500 0.500
Ho7 0.616 0.384 0.750
Ho8 0.710 0.290 0.049
Ho9 0.710 0.290 0.451
Ho10 0.987 0.013 0.750
In1 0.405 0.595 0.750
In2 0.595 0.405 0.250
# final energy: -4.593 eV per atom
# DFT formation energy: -0.0043 eV per atom

No. 6
# Dy6Y2Ho3In, relaxed, DFT PBE-GGA
data_Dy6Y2Ho3In
_cell_length_a 6.074
_cell_length_b 6.074
_cell_length_c 11.640
_cell_angle_alpha 95.02
_cell_angle_beta 95.02
_cell_angle_gamma 120.04
_space_group_name_H-M_alt 'P 1'
_space_group_IT_number 1
_space_group_name_Hall 'P 1'
loop_
_atom_site_label
_atom_site_fract_x
_atom_site_fract_y
_atom_site_fract_z
Dy1 0.082 0.411 0.748
Dy2 0.246 0.246 0.250
Dy3 0.411 0.082 0.748
Dy4 0.589 0.918 0.252
Dy5 0.754 0.754 0.750
Dy6 0.918 0.589 0.252
Y1 0.334 0.666 0.500
Y2 0.666 0.334 0.500
Ho1 0.167 0.833 0.000
Ho2 0.500 0.500 0.000
Ho3 0.833 0.167 0.000
In1 0.000 0.000 0.500
# final energy: -4.793 eV per atom
# DFT formation energy: -0.0422 eV per atom